Entry 1:
# ScNO2F, optimized geometry, DFT PBE
# E_tot in eV per cell: -25.1
# Fermi-level density of states in states/eV/atom: 0.451
# Crystal system: tetragonal
# Raw formation energy in eV/atom: 0.274
data_ScNO2F
_cell_length_a 3.768
_cell_length_b 3.768
_cell_length_c 3.513
_cell_angle_alpha 90.00
_cell_angle_beta 90.00
_cell_angle_gamma 90.00
_symmetry_space_group_name_H-M 'P 4/m m m'
_symmetry_Int_Tables_number 123
_symmetry_space_group_name_Hall '-P 4 2'
loop_
_atom_site_label
_atom_site_fract_x
_atom_site_fract_y
_atom_site_fract_z
Sc1 0.000 0.000 0.000
N1 0.500 0.500 0.000
O1 0.000 0.500 0.500
F1 0.500 0.500 0.500

***

Entry 2:
# Pr4HgGeN, optimized geometry, DFT PBE
# E_tot in eV per cell: -149.3
# Fermi-level density of states in states/eV/atom: 0.564
# Crystal system: orthorhombic
# Raw formation energy in eV/atom: -0.708
data_Pr4HgGeN
_cell_length_a 7.001
_cell_length_b 15.777
_cell_length_c 6.998
_cell_angle_alpha 90.00
_cell_angle_beta 90.00
_cell_angle_gamma 90.00
_symmetry_space_group_name_H-M 'C m c m'
_symmetry_Int_Tables_number 63
_symmetry_space_group_name_Hall '-C 2c 2'
loop_
_atom_site_label
_atom_site_fract_x
_atom_site_fract_y
_atom_site_fract_z
Pr1 0.000 0.076 0.250
Pr2 0.000 0.418 0.250
Pr3 0.250 0.250 0.000
Hg1 0.000 0.385 0.750
Ge1 0.000 0.117 0.750
N1 0.000 0.253 0.250

***

Entry 3:
# K6H2Br3F, optimized geometry, DFT PBE
# E_tot in eV per cell: -72.9
# Fermi-level density of states in states/eV/atom: 0.000
# Crystal system: monoclinic
data_K6H2Br3F
_cell_length_a 19.154
_cell_length_b 4.352
_cell_length_c 8.816
_cell_angle_alpha 90.00
_cell_angle_beta 104.25
_cell_angle_gamma 90.00
_symmetry_space_group_name_H-M 'C 1 2/m 1'
_symmetry_Int_Tables_number 12
loop_
_symmetry_equiv_pos_as_xyz
'x,y,z'
'-x,-y,-z'
'-x,y,-z'
'x,-y,z'
'x+1/2,y+1/2,z'
'-x+1/2,-y+1/2,-z'
'-x+1/2,y+1/2,-z'
'x+1/2,-y+1/2,z'
loop_
_atom_site_label
_atom_site_fract_x
_atom_site_fract_y
_atom_site_fract_z
K1 0.006 0.000 0.223
K2 0.154 0.500 0.098
K3 0.174 0.500 0.564
H1 0.164 0.000 0.329
Br1 0.000 0.500 0.500
Br2 0.168 0.000 0.834
F1 0.000 0.500 0.000

***

Entry 4:
# NdScTl6, optimized geometry, DFT PBE
# E_tot in eV per cell: -26.9
# Fermi-level density of states in states/eV/atom: 0.387
# Crystal system: tetragonal
# Formation enthalpy at 0 K in meV/atom: -204
data_NdScTl6
_cell_length_a 4.769
_cell_length_b 4.769
_cell_length_c 9.482
_cell_angle_alpha 90.00
_cell_angle_beta 90.00
_cell_angle_gamma 90.00
_symmetry_space_group_name_H-M 'P 4/m m m'
_symmetry_Int_Tables_number 123
_symmetry_space_group_name_Hall '-P 4 2'
loop_
_atom_site_label
_atom_site_fract_x
_atom_site_fract_y
_atom_site_fract_z
Nd1 0.000 0.000 0.000
Sc1 0.000 0.000 0.500
Tl1 0.000 0.500 0.259
Tl2 0.500 0.500 0.000
Tl3 0.500 0.500 0.500

***

Entry 5:
# ZrSbCl2, optimized geometry, DFT PBE
# E_tot in eV per cell: -60.6
# Fermi-level density of states in states/eV/atom: 0.516
# Crystal system: trigonal
# Offset from the most stable computed form in kJ/mol of formula units: 44
# Raw formation energy in eV/atom: -0.962
data_ZrSbCl2
_cell_length_a 3.2661
_cell_length_b 3.2661
_cell_length_c 34.7973
_cell_angle_alpha 90.00
_cell_angle_beta 90.00
_cell_angle_gamma 120.00
_symmetry_space_group_name_H-M 'R -3 m'
_symmetry_Int_Tables_number 166
_symmetry_space_group_name_Hall '-R 3 2"'
loop_
_atom_site_label
_atom_site_fract_x
_atom_site_fract_y
_atom_site_fract_z
Zr1 0.0000 0.0000 0.0000
Sb1 0.0000 0.0000 0.5000
Cl1 0.0000 0.0000 0.3859

***

| no. | volume (Å³ per cell) |
| --- | --- |
| 1 | 50 |
| 2 | 773 |
| 3 | 712 |
| 4 | 216 |
| 5 | 321 |